1.
A plane-wave DFT calculation with PBE was carried out for a relaxed LiHoTmCu crystal.

The space group is F-43m (No. 216) and the conventional cell measures 7.031, 7.031 and 7.031 Å, with angles of 90.00, 90.00 and 90.00 degrees. The inequivalent atoms are Li at (0.000, 0.000, 0.000), Ho at (0.250, 0.250, 0.250), Tm at (0.250, 0.250, 0.750) and Cu at (0.000, 0.000, 0.500).

2.
A plane-wave DFT calculation with PBE was carried out for a relaxed ZnCuOs2 crystal.

The space group is I4/mmm (No. 139) and the conventional cell measures 3.704, 3.704 and 8.141 Å, with angles of 90.00, 90.00 and 90.00 degrees. The inequivalent atoms are Zn at (0.000, 0.000, 0.000), Cu at (0.000, 0.000, 0.500) and Os at (0.000, 0.500, 0.250).

3.
A plane-wave DFT calculation with PBE was carried out for a relaxed DyThTe2N crystal.

The space group is P4/nmm (No. 129, origin choice 2) and the conventional cell measures 4.219, 4.219 and 15.849 Å, with angles of 90.00, 90.00 and 90.00 degrees. The inequivalent atoms are Dy at (0.250, 0.250, 0.127), Th at (0.250, 0.250, 0.570), Te at (0.250, 0.250, 0.309), Te at (0.250, 0.250, 0.915) and N at (0.250, 0.750, 0.500).

The uncorrected formation energy comes out at -1535 meV per atom.

4.
A plane-wave DFT calculation with PBE was carried out for a relaxed PrYZnGa crystal.

The space group is F-43m (No. 216) and the conventional cell measures 7.315, 7.315 and 7.315 Å, with angles of 90.00, 90.00 and 90.00 degrees. The inequivalent atoms are Pr at (0.000, 0.000, 0.000), Y at (0.000, 0.000, 0.500), Zn at (0.250, 0.250, 0.250) and Ga at (0.250, 0.250, 0.750).

5.
A plane-wave DFT calculation with PBE was carried out for a relaxed Tl4Cl2F crystal.

The space group is I4/mmm (No. 139) and the conventional cell measures 5.381, 5.381 and 15.881 Å, with angles of 90.00, 90.00 and 90.00 degrees. The inequivalent atoms are Tl at (0.000, 0.000, 0.174), Tl at (0.000, 0.500, 0.000), Cl at (0.000, 0.000, 0.371) and F at (0.000, 0.000, 0.000).

The uncorrected formation energy comes out at -894 meV per atom.

6.
A plane-wave DFT calculation with PBE was carried out for a relaxed Dy5Ni4Ru crystal.

The space group is P4/mmm (No. 123) and the conventional cell measures 3.378, 3.378 and 16.941 Å, with angles of 90.00, 90.00 and 90.00 degrees. The inequivalent atoms are Dy at (0.000, 0.000, 0.000), Dy at (0.000, 0.000, 0.199), Dy at (0.000, 0.000, 0.400), Ni at (0.500, 0.500, 0.100), Ni at (0.500, 0.500, 0.297) and Ru at (0.500, 0.500, 0.500).

7.
A plane-wave DFT calculation with PBE was carried out for a relaxed CdCuTe3 crystal.

The space group is Pm-3m (No. 221) and the conventional cell measures 5.557, 5.557 and 5.557 Å, with angles of 90.00, 90.00 and 90.00 degrees. The inequivalent atoms are Cd at (0.000, 0.000, 0.000), Cu at (0.500, 0.500, 0.500) and Te at (0.000, 0.000, 0.500).

The distance to the lowest polymorph of the same formula comes out at 528 meV per atom. The uncorrected formation energy comes out at 888 meV per atom.

8.
A plane-wave DFT calculation with PBE was carried out for a relaxed LaDy2Lu crystal.

The space group is Fm-3m (No. 225) and the conventional cell measures 8.063, 8.063 and 8.063 Å, with angles of 90.00, 90.00 and 90.00 degrees. The inequivalent atoms are La at (0.000, 0.000, 0.000), Dy at (0.250, 0.250, 0.250) and Lu at (0.000, 0.000, 0.500).

The distance to the lowest polymorph of the same formula comes out at 115 meV per atom.

| no. | E_tot (eV/atom) | density (g cm⁻³) |
| --- | --- | --- |
| 1 | -3.815 | 7.7 |
| 2 | -6.445 | 15.1 |
| 3 | -6.862 | 7.8 |
| 4 | -4.348 | 6.2 |
| 5 | -3.041 | 6.6 |
| 6 | -5.942 | 9.9 |
| 7 | -2.000 | 5.4 |
| 8 | -4.519 | 8.1 |